Record 1
This record from Alexandria describes Zn4InHg at its PBEsol-relaxed geometry. The functional is SCAN.

abc: 7.457 7.457 7.457
angles: 90.00 90.00 90.00
Space group F-43m (No. 216)
Unique sites:
Zn 0.125 0.125 0.125 x16
In 0.000 0.000 0.500 x4
Hg 0.250 0.250 0.750 x4

Record 2
This record from Alexandria describes ZnIn2Hg at its PBEsol-relaxed geometry. The functional is SCAN.

Results
energy above the most stable polymorph in this dataset	3.2	kJ per mole of atoms

abc: 9.947 3.287 5.742
angles: 90.00 108.77 90.00
Space group Cm (No. 8)
Unique sites:
Zn 0.000 0.000 0.000 x2
In 0.029 0.500 0.461 x2
In 0.244 0.500 0.124 x2
Hg 0.298 0.000 0.673 x2

Number 1: volume 17.3 A^3/atom, spin magnetization 0.000 μB/atom, energy relative to the elements 0.133 eV per atom. Number 2: volume 22.2 A^3/atom, spin magnetization 0.000 μB/atom, energy relative to the elements 0.102 eV per atom.